(1)
# Sc2AuS GGA-PBE optimized geometry
data_Sc2AuS
_cell_length_a 3.698
_cell_length_b 21.328
_cell_length_c 3.943
_cell_angle_alpha 90.00
_cell_angle_beta 90.00
_cell_angle_gamma 90.00
_space_group_name_H-M_alt 'C m c m'
_space_group_IT_number 63
_space_group_name_Hall '-C 2c 2'
loop_
_atom_site_label
_atom_site_fract_x
_atom_site_fract_y
_atom_site_fract_z
Sc1 0.000 0.073 0.250
Sc2 0.000 0.314 0.250
Au1 0.000 0.452 0.250
S1 0.000 0.193 0.250
# Spin magnetization: 0.00 Bohr magnetons per cell
# VASP energy: -6.325 eV per atom
# ρ: 6.8 Mg/m³



(2)
# ScAuS2 GGA-PBE optimized geometry
data_ScAuS2
_cell_length_a 3.687
_cell_length_b 6.755
_cell_length_c 8.225
_cell_angle_alpha 112.81
_cell_angle_beta 100.35
_cell_angle_gamma 95.44
_space_group_name_H-M_alt 'P -1'
_space_group_IT_number 2
loop_
_space_group_symop_operation_xyz
'x,y,z'
'-x,-y,-z'
loop_
_atom_site_label
_atom_site_fract_x
_atom_site_fract_y
_atom_site_fract_z
Sc1 0.213 0.211 0.422
Au1 0.485 0.736 0.000
S1 0.302 0.595 0.686
S2 0.378 0.090 0.686
# Spin magnetization: 0.00 Bohr magnetons per cell
# VASP energy: -5.602 eV per atom
# Distance to the lowest polymorph of the same formula: 64.9 meV per atom
# ρ: 5.6 Mg/m³



(3)
# Sc4AuS2 GGA-PBE optimized geometry
data_Sc4AuS2
_cell_length_a 3.646
_cell_length_b 12.032
_cell_length_c 12.686
_cell_angle_alpha 90.00
_cell_angle_beta 90.00
_cell_angle_gamma 90.00
_space_group_name_H-M_alt 'C m c m'
_space_group_IT_number 63
_space_group_name_Hall '-C 2c 2'
loop_
_atom_site_label
_atom_site_fract_x
_atom_site_fract_y
_atom_site_fract_z
Sc1 0.000 0.000 0.000
Sc2 0.000 0.273 0.120
Sc3 0.000 0.435 0.750
Au1 0.000 0.110 0.750
S1 0.000 0.364 0.560
# Spin magnetization: 0.00 Bohr magnetons per cell
# VASP energy: -6.619 eV per atom
# ρ: 5.3 Mg/m³



(4)
# ScAuS2 GGA-PBE optimized geometry
data_ScAuS2
_cell_length_a 7.048
_cell_length_b 3.846
_cell_length_c 6.624
_cell_angle_alpha 90.00
_cell_angle_beta 100.79
_cell_angle_gamma 90.00
_space_group_name_H-M_alt 'P 1 2/c 1'
_space_group_IT_number 13
loop_
_space_group_symop_operation_xyz
'x,y,z'
'-x,-y,-z'
'-x,y,-z+1/2'
'x,-y,z+1/2'
loop_
_atom_site_label
_atom_site_fract_x
_atom_site_fract_y
_atom_site_fract_z
Sc1 0.000 0.231 0.250
Au1 0.500 0.000 0.000
S1 0.196 0.258 0.957
# Spin magnetization: 0.00 Bohr magnetons per cell
# VASP energy: -5.640 eV per atom
# Distance to the lowest polymorph of the same formula: 26.9 meV per atom
# ρ: 5.8 Mg/m³